# 1
CuMoAs2: relaxed, PBE.

Output
Energy of formation, eV/atom: 0.0087
Magnetization, μB per cell: 0.0
ΔE to the lowest computed polymorph, meV per atom: 26
Space group: P4/mmm (123)
Final energy, eV for the cell shown: -24.19

Cell: 3.2481 3.2481 5.8873 Å, 90.00 90.00 90.00°
Last column: nearest neighbours and their distance in Å.
Fractional positions:
Cu 0.0000 0.0000 0.0000  8 As 2.76, 2 Mo 2.94
Mo 0.0000 0.0000 0.5000  8 As 2.70, 2 Cu 2.94
As 0.5000 0.5000 0.2599  4 Mo 2.70, 4 Cu 2.76, 1 As 2.83
As 0.5000 0.5000 0.7401  4 Mo 2.70, 4 Cu 2.76, 1 As 2.83

***

# 2
Pa6SeS12: relaxed, PBE.

Output
Magnetization, μB per cell: 0.1
Space group: R-3m (166)
Final energy, eV for the cell shown: -137.12

Cell: 7.9811 7.9811 7.9811 Å, 103.56 103.56 103.56°
Last column: nearest neighbours and their distance in Å.
Fractional positions:
Pa 0.2432 0.2432 0.6607  7 S 2.66-2.79
Pa 0.2432 0.6607 0.2432  7 S 2.66-2.79
Pa 0.3393 0.7568 0.7567  7 S 2.66-2.79
Pa 0.6607 0.2432 0.2432  7 S 2.66-2.79
Pa 0.7568 0.3393 0.7568  7 S 2.66-2.79
Pa 0.7568 0.7568 0.3393  7 S 2.66-2.79
Se 0.0000 0.0000 0.0000  18 S 4.17-4.32, 6 Pa 4.25
S 0.1310 0.5000 0.8690  4 Pa 2.78-2.79
S 0.1310 0.8690 0.5000  4 Pa 2.78-2.79
S 0.1887 0.4559 0.4559  3 Pa 2.66-2.75
S 0.4559 0.1887 0.4559  3 Pa 2.66-2.75
S 0.4559 0.4559 0.1887  3 Pa 2.66-2.75
S 0.5000 0.1310 0.8690  4 Pa 2.78-2.79
S 0.5000 0.8690 0.1310  4 Pa 2.78-2.79
S 0.5441 0.5441 0.8113  3 Pa 2.66-2.75
S 0.5441 0.8113 0.5441  3 Pa 2.66-2.75
S 0.8113 0.5441 0.5441  3 Pa 2.66-2.75
S 0.8690 0.1310 0.5000  4 Pa 2.78-2.79
S 0.8690 0.5000 0.1310  4 Pa 2.78-2.79

***

# 3
K5Na12Tl2: relaxed, PBE.

Output
Energy of formation, eV/atom: 0.0031
Magnetization, μB per cell: 0.0
Space group: C2/m (12)
Final energy, eV for the cell shown: -25.99

Cell: 10.5167 10.5167 9.0925 Å, 90.52 90.52 54.92°
Last column: nearest neighbours and their distance in Å.
Fractional positions:
K 0.0000 0.0000 0.0000  10 Na 3.88-3.92
K 0.2434 0.2434 0.0467  10 Na 4.05-4.53, 1 K 4.32
K 0.2978 0.2978 0.5096  8 Na 3.83-4.24, 2 Tl 4.14
K 0.7022 0.7022 0.4904  8 Na 3.83-4.24, 2 Tl 4.14
K 0.7566 0.7566 0.9533  10 Na 4.05-4.53, 1 K 4.32
Na 0.0652 0.6827 0.2750  1 Tl 3.36, 3 Na 3.45-3.71
Na 0.0759 0.0759 0.4041  5 Na 3.34-3.57, 2 Tl 3.57
Na 0.1955 0.5955 0.8139  2 Na 3.44-3.56, 1 Tl 3.48, 1 K 3.83
Na 0.3173 0.9348 0.7250  1 Tl 3.36, 3 Na 3.45-3.71
Na 0.4045 0.8045 0.1861  2 Na 3.44-3.56, 1 Tl 3.48, 1 K 3.83
Na 0.4520 0.4520 0.1776  5 Na 3.44-3.71, 2 Tl 3.49
Na 0.5480 0.5480 0.8224  5 Na 3.44-3.71, 2 Tl 3.49
Na 0.5955 0.1955 0.8139  2 Na 3.44-3.56, 1 Tl 3.48, 1 K 3.83
Na 0.6827 0.0652 0.2750  1 Tl 3.36, 3 Na 3.45-3.71
Na 0.8045 0.4045 0.1861  2 Na 3.44-3.56, 1 Tl 3.48, 1 K 3.83
Na 0.9241 0.9241 0.5959  5 Na 3.34-3.57, 2 Tl 3.57
Na 0.9348 0.3173 0.7250  1 Tl 3.36, 3 Na 3.45-3.71
Tl 0.3254 0.6746 0.5000  8 Na 3.36-3.57, 1 Tl 3.39
Tl 0.6746 0.3254 0.5000  8 Na 3.36-3.57, 1 Tl 3.39

***

# 4
ScB2Mo: relaxed, PBE.

Output
Energy of formation, eV/atom: -0.5971
Magnetization, μB per cell: 0.0
ΔE to the lowest computed polymorph, meV per atom: 0
Space group: Amm2 (38)
Final energy, eV for the cell shown: -32.91

Cell: 3.1110 4.8078 4.8078 Å, 39.79 90.00 90.00°
Last column: nearest neighbours and their distance in Å.
Fractional positions:
Sc 0.0000 0.0000 0.0000  7 B 2.46-2.60
B 0.0000 0.7128 0.7128  2 B 1.82
B 0.5000 0.6084 0.6084  2 B 1.82
Mo 0.5000 0.2888 0.2888  6 B 2.31-2.36

***

# 5
Y6Er8Tm: relaxed, PBE.

Output
Energy of formation, eV/atom: 0.2442
Magnetization, μB per cell: 0.0
ΔE to the lowest computed polymorph, meV per atom: 122
Space group: P-3 (147)
Final energy, eV for the cell shown: -76.10

Cell: 9.3666 9.3666 6.4552 Å, 90.00 90.00 120.00°
Last column: nearest neighbours and their distance in Å.
Fractional positions:
Y 0.0995 0.6828 0.0924  3 Er 3.19-3.43, 1 Y 3.20
Y 0.3172 0.4167 0.0924  3 Er 3.19-3.43, 1 Y 3.20
Y 0.4167 0.0995 0.9076  3 Er 3.19-3.43, 1 Y 3.20
Y 0.5833 0.9005 0.0924  3 Er 3.19-3.43, 1 Y 3.20
Y 0.6828 0.5833 0.9076  3 Er 3.19-3.43, 1 Y 3.20
Y 0.9005 0.3172 0.9076  3 Er 3.19-3.43, 1 Y 3.20
Er 0.0193 0.3311 0.4023  3 Y 3.19-3.43, 4 Er 3.27-3.44
Er 0.3119 0.9807 0.4023  3 Y 3.19-3.43, 4 Er 3.27-3.44
Er 0.3311 0.3119 0.5977  3 Y 3.19-3.43, 4 Er 3.27-3.44
Er 0.3333 0.6667 0.6509  6 Er 3.33-3.44, 3 Y 3.64
Er 0.6667 0.3333 0.3491  6 Er 3.33-3.44, 3 Y 3.64
Er 0.6689 0.6881 0.4023  3 Y 3.19-3.43, 4 Er 3.27-3.44
Er 0.6881 0.0193 0.5977  3 Y 3.19-3.43, 4 Er 3.27-3.44
Er 0.9807 0.6689 0.5977  3 Y 3.19-3.43, 4 Er 3.27-3.44
Tm 0.0000 0.0000 0.0000  6 Y 3.58, 6 Er 3.98

***

# 6
CdCoAgI2: relaxed, PBE.

Output
Magnetization, μB per cell: 2.6
ΔE to the lowest computed polymorph, meV per atom: 319
Space group: P4/mmm (123)
Final energy, eV for the cell shown: -10.28

Cell: 5.7632 5.7632 4.9956 Å, 90.00 90.00 90.00°
Last column: nearest neighbours and their distance in Å.
Fractional positions:
Cd 0.0000 0.0000 0.0000  8 I 3.81, 4 Co 4.08
Co 0.5000 0.5000 0.0000  2 Ag 2.50
Ag 0.5000 0.5000 0.5000  2 Co 2.50
I 0.0000 0.5000 0.5000  2 Ag 2.88
I 0.5000 0.0000 0.5000  2 Ag 2.88

***

# 7
BaTc2AsO8: relaxed, PBE.

Output
Magnetization, μB per cell: 3.1
Space group: R32 (155)
Final energy, eV for the cell shown: -83.62

Cell: 8.6740 8.6740 8.6740 Å, 34.98 34.98 34.98°
Last column: nearest neighbours and their distance in Å.
Fractional positions:
Ba 0.0000 0.0000 0.0000  12 O 3.03-3.23
Tc 0.2451 0.2451 0.2451  4 O 1.80-1.82
Tc 0.7549 0.7549 0.7549  4 O 1.80-1.82
As 0.5000 0.5000 0.5000  6 O 2.16
O 0.1212 0.4521 0.7549  1 Tc 1.82
O 0.2451 0.5479 0.8788  1 Tc 1.82
O 0.3188 0.3188 0.3188  1 Tc 1.80
O 0.4521 0.7549 0.1212  1 Tc 1.82
O 0.5479 0.8788 0.2451  1 Tc 1.82
O 0.6812 0.6812 0.6812  1 Tc 1.80
O 0.7549 0.1212 0.4521  1 Tc 1.82
O 0.8788 0.2451 0.5479  1 Tc 1.82

***

# 8
PmHgSb: relaxed, PBE.

Output
Magnetization, μB per cell: 0.0
ΔE to the lowest computed polymorph, meV per atom: 0
Space group: P3m1 (156)
Final energy, eV for the cell shown: -11.06

Cell: 4.7312 4.7312 4.4398 Å, 90.00 90.00 120.00°
Last column: nearest neighbours and their distance in Å.
Fractional positions:
Pm 0.0000 0.0000 0.0000  3 Hg 3.06, 3 Sb 3.28
Hg 0.3333 0.6667 0.3120  3 Sb 3.00, 3 Pm 3.06
Sb 0.6667 0.3333 0.5923  3 Hg 3.00, 3 Pm 3.28

***

# 9
Sm5Er4Hg4: relaxed, PBE.

Output
Energy of formation, eV/atom: -0.3192
Magnetization, μB per cell: 0.0
Space group: I4/m (87)
Final energy, eV for the cell shown: -47.20

Cell: 8.9535 8.9535 8.9535 Å, 94.73 94.73 146.61°
Last column: nearest neighbours and their distance in Å.
Fractional positions:
Sm 0.0000 0.0000 0.0000  4 Hg 3.15
Sm 0.3147 0.6186 0.9333  3 Hg 3.18
Sm 0.3814 0.3147 0.6961  3 Hg 3.18
Sm 0.6186 0.6853 0.3039  3 Hg 3.18
Sm 0.6853 0.3814 0.0667  3 Hg 3.18
Er 0.0977 0.3967 0.4944  3 Hg 2.98-3.23
Er 0.3967 0.9023 0.2990  3 Hg 2.98-3.23
Er 0.6033 0.0977 0.7010  3 Hg 2.98-3.23
Er 0.9023 0.6033 0.5056  3 Hg 2.98-3.23
Hg 0.0930 0.7579 0.8509  3 Er 2.98-3.23, 4 Sm 3.15-3.18
Hg 0.2421 0.0930 0.3351  3 Er 2.98-3.23, 4 Sm 3.15-3.18
Hg 0.7579 0.9070 0.6649  3 Er 2.98-3.23, 4 Sm 3.15-3.18
Hg 0.9070 0.2421 0.1491  3 Er 2.98-3.23, 4 Sm 3.15-3.18

***

# 10
Gd5Ge: relaxed, PBE.

Output
Energy of formation, eV/atom: -0.1075
Magnetization, μB per cell: 7.0
Space group: Cmmm (65)
Final energy, eV for the cell shown: -75.67

Cell: 6.2880 6.2880 5.5251 Å, 90.00 90.00 127.54°
Last column: nearest neighbours and their distance in Å.
Fractional positions:
Gd 0.0000 0.0000 0.0000  8 Gd 3.27
Gd 0.1554 0.8446 0.5000  7 Gd 3.27-3.51, 2 Ge 3.29
Gd 0.3467 0.6533 0.0000  2 Ge 3.26, 7 Gd 3.27-3.53
Gd 0.6533 0.3467 0.0000  2 Ge 3.26, 7 Gd 3.27-3.53
Gd 0.8446 0.1554 0.5000  7 Gd 3.27-3.51, 2 Ge 3.29
Ge 0.5000 0.5000 0.5000  8 Gd 3.26-3.29

***

# 11
BaTl2Ru: relaxed, PBE.

Output
Energy of formation, eV/atom: 0.3419
Magnetization, μB per cell: 0.0
Space group: I-42d (122)
Final energy, eV for the cell shown: -29.13

Cell: 9.6502 9.6502 9.6502 Å, 144.80 144.80 50.63°
Last column: nearest neighbours and their distance in Å.
Fractional positions:
Ba 0.0000 0.0000 0.0000  4 Tl 3.69, 4 Ru 4.13
Ba 0.7500 0.2500 0.5000  4 Tl 3.69, 4 Ru 4.13
Tl 0.3191 0.6250 0.1941  2 Ru 2.64
Tl 0.3750 0.5691 0.6941  2 Ru 2.64
Tl 0.4309 0.1250 0.8059  2 Ru 2.64
Tl 0.8750 0.6809 0.3059  2 Ru 2.64
Ru 0.2500 0.7500 0.5000  4 Tl 2.64
Ru 0.5000 0.5000 0.0000  4 Tl 2.64

***

# 12
TlAs12Au4: relaxed, PBE.

Output
Energy of formation, eV/atom: 0.0265
Magnetization, μB per cell: 0.0
Space group: Im-3 (204)
Final energy, eV for the cell shown: -70.82

Cell: 7.8962 7.8962 7.8962 Å, 109.47 109.47 109.47°
Last column: nearest neighbours and their distance in Å.
Fractional positions:
Tl 0.0000 0.0000 0.0000  12 As 3.52
As 0.1387 0.3601 0.4988  2 As 2.53-2.55, 2 Au 2.69
As 0.1387 0.6399 0.7785  2 As 2.53-2.55, 2 Au 2.69
As 0.2215 0.8613 0.3601  2 As 2.53-2.55, 2 Au 2.69
As 0.3601 0.2215 0.8613  2 As 2.53-2.55, 2 Au 2.69
As 0.3601 0.4988 0.1387  2 As 2.53-2.55, 2 Au 2.69
As 0.4988 0.1387 0.3601  2 As 2.53-2.55, 2 Au 2.69
As 0.5012 0.8613 0.6399  2 As 2.53-2.55, 2 Au 2.69
As 0.6399 0.5012 0.8613  2 As 2.53-2.55, 2 Au 2.69
As 0.6399 0.7785 0.1387  2 As 2.53-2.55, 2 Au 2.69
As 0.7785 0.1387 0.6399  2 As 2.53-2.55, 2 Au 2.69
As 0.8613 0.3601 0.2215  2 As 2.53-2.55, 2 Au 2.69
As 0.8613 0.6399 0.5012  2 As 2.53-2.55, 2 Au 2.69
Au 0.0000 0.0000 0.5000  6 As 2.69
Au 0.0000 0.5000 0.0000  6 As 2.69
Au 0.5000 0.0000 0.0000  6 As 2.69
Au 0.5000 0.5000 0.5000  6 As 2.69